Cs2NbWCl6 | PBE | optimized geometry

a b c (Å): 7.388 7.388 7.404
angles (deg): 60.07 60.07 90.00
Fractional positions:
Cl  0.756  0.756  0.487
Cl  0.757  0.757  0.000
Cl  0.757  0.243  0.000
Cl  0.244  0.244  0.513
Cl  0.243  0.757  0.000
Cl  0.243  0.243  0.000
Nb  0.500  0.500  0.000
Cs  0.250  0.750  0.500
Cs  0.750  0.250  0.500
W  0.000  0.000  0.000

Output
crystal system: tetragonal

***

Cs2NbZnCl6 | PBE | optimized geometry

a b c (Å): 7.996 7.996 8.003
angles (deg): 60.03 60.03 90.00
Fractional positions:
Cl  0.216  0.784  0.000
Cl  0.784  0.784  0.432
Cl  0.784  0.216  0.000
Cl  0.216  0.216  0.568
Cl  0.216  0.216  0.000
Cl  0.784  0.784  0.000
Nb  0.000  0.000  0.000
Zn  0.500  0.500  0.000
Cs  0.250  0.750  0.500
Cs  0.750  0.250  0.500

Output
crystal system: tetragonal

***

CsNbZn2Cl8 | PBE | optimized geometry

a b c (Å): 6.361 6.361 11.143
angles (deg): 73.42 73.42 60.00
Fractional positions:
Nb  0.000  0.000  0.000
Cl  0.944  0.639  0.140
Cl  0.723  0.056  0.860
Cl  0.056  0.361  0.860
Cl  0.193  0.193  0.422
Cl  0.807  0.807  0.578
Cl  0.361  0.723  0.860
Cl  0.277  0.944  0.140
Cl  0.639  0.277  0.140
Zn  0.263  0.263  0.211
Zn  0.737  0.737  0.789
Cs  0.500  0.500  0.500

Output
crystal system: trigonal

***

Cs2ZrNbCl6 | PBE | optimized geometry

a b c (Å): 7.364 7.364 7.365
angles (deg): 60.01 60.01 90.00
Fractional positions:
Cl  0.751  0.751  0.000
Cl  0.249  0.249  0.000
Cl  0.248  0.248  0.503
Cl  0.752  0.752  0.497
Cl  0.249  0.751  0.000
Cl  0.751  0.249  0.000
Cs  0.750  0.250  0.500
Cs  0.250  0.750  0.500
Zr  0.500  0.500  0.000
Nb  0.000  0.000  0.000

Output
crystal system: cubic

***

Cs2NdCl5 | PBE | optimized geometry

a b c (Å): 8.728 9.153 14.058
angles (deg): 90.00 90.00 90.00
Fractional positions:
Cl  0.641  0.750  0.687
Cl  0.656  0.458  0.436
Cl  0.844  0.042  0.936
Cl  0.884  0.750  0.484
Cl  0.359  0.250  0.313
Cl  0.344  0.542  0.564
Cl  0.116  0.250  0.516
Cl  0.844  0.458  0.936
Cl  0.616  0.750  0.984
Cl  0.396  0.750  0.329
Cl  0.156  0.958  0.064
Cl  0.156  0.542  0.064
Cl  0.104  0.750  0.829
Cl  0.344  0.958  0.564
Cl  0.896  0.250  0.171
Cl  0.859  0.750  0.187
Cl  0.141  0.250  0.813
Cl  0.604  0.250  0.671
Cl  0.384  0.250  0.016
Cl  0.656  0.042  0.436
Cs  0.937  0.494  0.670
Cs  0.937  0.006  0.670
Cs  0.063  0.994  0.330
Cs  0.563  0.006  0.170
Cs  0.437  0.994  0.830
Cs  0.437  0.506  0.830
Cs  0.063  0.506  0.330
Cs  0.563  0.494  0.170
Nd  0.065  0.250  0.004
Nd  0.565  0.750  0.496
Nd  0.935  0.750  0.996
Nd  0.435  0.250  0.504

Output
energy above the lowest structure with this stoichiometry: 0 meV per atom
crystal system: orthorhombic

***

Cs4NdCl6 | PBE | optimized geometry

a b c (Å): 9.773 9.773 9.931
angles (deg): 90.00 90.00 90.00
Fractional positions:
Nd  0.500  0.500  0.000
Nd  0.000  0.000  0.500
Cs  0.677  0.823  0.250
Cs  0.823  0.323  0.250
Cs  0.677  0.823  0.750
Cs  0.323  0.177  0.250
Cs  0.323  0.177  0.750
Cs  0.177  0.677  0.250
Cs  0.177  0.677  0.750
Cs  0.823  0.323  0.750
Cl  0.085  0.283  0.500
Cl  0.915  0.717  0.500
Cl  0.283  0.915  0.500
Cl  0.585  0.217  0.000
Cl  0.717  0.085  0.500
Cl  0.217  0.415  0.000
Cl  0.000  0.000  0.220
Cl  0.000  0.000  0.780
Cl  0.500  0.500  0.280
Cl  0.415  0.783  0.000
Cl  0.783  0.585  0.000
Cl  0.500  0.500  0.720

Output
crystal system: tetragonal

***

CsNdCl4 | PBE | optimized geometry

a b c (Å): 4.395 7.910 20.434
angles (deg): 90.00 90.00 90.00
Fractional positions:
Cl  0.250  0.101  0.817
Cl  0.250  0.107  0.374
Cl  0.250  0.640  0.964
Cl  0.250  0.140  0.536
Cl  0.250  0.506  0.442
Cl  0.750  0.893  0.626
Cl  0.750  0.899  0.183
Cl  0.750  0.393  0.874
Cl  0.250  0.006  0.058
Cl  0.250  0.607  0.126
Cl  0.750  0.494  0.558
Cl  0.750  0.399  0.317
Cl  0.750  0.360  0.036
Cl  0.250  0.601  0.683
Cl  0.750  0.994  0.942
Cl  0.750  0.860  0.464
Cs  0.750  0.773  0.798
Cs  0.250  0.727  0.298
Cs  0.250  0.227  0.202
Cs  0.750  0.273  0.702
Nd  0.750  0.752  0.055
Nd  0.250  0.748  0.555
Nd  0.750  0.252  0.445
Nd  0.250  0.248  0.945

Output
energy above the lowest structure with this stoichiometry: 0 meV per atom
crystal system: orthorhombic

***

Cs2NdCl5 | PBE | optimized geometry

a b c (Å): 5.616 9.276 15.512
angles (deg): 90.00 90.00 107.62
Fractional positions:
Cl  0.262  0.523  0.117
Cl  0.677  0.354  0.250
Cl  0.047  0.093  0.371
Cl  0.047  0.093  0.129
Cl  0.738  0.477  0.883
Cl  0.262  0.523  0.383
Cl  0.323  0.646  0.750
Cl  0.738  0.477  0.617
Cl  0.953  0.907  0.629
Cl  0.953  0.907  0.871
Cs  0.140  0.279  0.567
Cs  0.860  0.721  0.433
Cs  0.140  0.279  0.933
Cs  0.860  0.721  0.067
Nd  0.843  0.686  0.750
Nd  0.157  0.314  0.250

Output
energy above the lowest structure with this stoichiometry: 43 meV per atom
crystal system: orthorhombic

***

| no. | formation energy (no corrections) (eV/atom) |
| --- | --- |
| 1 | -0.89 |
| 2 | -1.34 |
| 3 | -1.27 |
| 4 | -1.39 |
| 5 | -2.19 |
| 6 | -1.91 |
| 7 | -2.18 |
| 8 | -2.15 |